A geometry-optimized MnHgPb2 structure, computed with PBEsol.

V = 24.0 Å³/atom
DFT formation energy = 1.24 eV per formula unit

Lattice parameters (Å, degrees): 3.3206 3.3206 8.7173 90.00 90.00 90.00
Last column: nearest neighbours and their distance in Å.
Space group P4/mmm (No. 123)
Asymmetric unit:
Mn 0.0000 0.0000 0.0000 [1 per cell]  8 Pb 2.97, 4 Mn 3.32
Hg 0.0000 0.0000 0.5000 [1 per cell]  4 Hg 3.32, 8 Pb 3.46
Pb 0.5000 0.5000 0.2086 [2 per cell]  4 Mn 2.97, 4 Pb 3.32